Record 1
DFT (PBE with a Hubbard U) results for AcVB2O6 after structural relaxation.

a = 5.0194 Å, b = 5.0194 Å, c = 6.2334 Å
α = 66.26°, β = 66.26°, γ = 60.00°
Site moments in Bohr magnetons follow the coordinates.
Fractional coordinates of all 10 atoms:
O 0.9392 0.4791 0.2777  -0.02
O 0.5209 0.6960 0.7223  -0.02
O 0.4791 0.3040 0.2777  -0.02
O 0.6960 0.0608 0.7223  -0.02
B 0.2371 0.2371 0.2888  0.01
O 0.0608 0.5209 0.7223  -0.02
V 0.5000 0.5000 0.5000  1.96
B 0.7629 0.7629 0.7112  0.01
Ac 0.0000 0.0000 0.0000  0.00
O 0.3040 0.9392 0.2777  -0.02

## Properties
symmetry: R-3
total magnetization: 2.00 μB per formula unit


Record 2
DFT (PBE with a Hubbard U) results for AcVBO5 after structural relaxation.

a = 5.4882 Å, b = 5.4882 Å, c = 6.9323 Å
α = 102.26°, β = 102.26°, γ = 107.18°
Site moments in Bohr magnetons follow the coordinates.
Fractional coordinates of all 16 atoms:
O 0.9368 0.0632 0.7500  -0.06
O 0.2374 0.4129 0.5998  0.00
O 0.3022 0.8808 0.6208  -0.01
Ac 0.3454 0.6546 0.2500  0.00
V 0.0000 0.0000 0.5000  1.03
O 0.6978 0.1192 0.3792  -0.01
O 0.1192 0.6978 0.8792  -0.01
B 0.3077 0.6923 0.7500  0.01
O 0.8808 0.3022 0.1208  -0.01
Ac 0.6546 0.3454 0.7500  0.00
O 0.4129 0.2374 0.0998  0.00
O 0.5871 0.7626 0.9002  0.00
O 0.7626 0.5871 0.4002  0.00
O 0.0632 0.9368 0.2500  -0.06
V 0.0000 0.0000 0.0000  1.03
B 0.6923 0.3077 0.2500  0.01

## Properties
symmetry: C2/c
total magnetization: 1.00 μB per formula unit


Record 3
DFT (PBE with a Hubbard U) results for AcV3B4O12 after structural relaxation.

a = 6.2355 Å, b = 6.2355 Å, c = 6.2355 Å
α = 103.45°, β = 103.45°, γ = 103.45°
Site moments in Bohr magnetons follow the coordinates.
Fractional coordinates of all 20 atoms:
O 0.6429 0.5000 0.3571  -0.02
O 0.9144 0.5000 0.0856  -0.01
O 0.7821 0.0280 0.6170  0.00
V 0.5545 0.4455 0.0000  1.91
B 0.5000 0.5000 0.5000  0.01
B 0.9425 0.0575 0.5000  0.01
O 0.3571 0.6429 0.5000  -0.02
O 0.0856 0.9144 0.5000  -0.01
V 0.0000 0.5545 0.4455  1.91
B 0.0575 0.5000 0.9425  0.01
Ac 0.0000 0.0000 0.0000  0.01
O 0.3830 0.9720 0.2179  0.00
O 0.2179 0.3830 0.9720  0.00
O 0.5000 0.0856 0.9144  -0.01
O 0.0280 0.6170 0.7821  0.00
O 0.6170 0.7821 0.0280  0.00
B 0.5000 0.9425 0.0575  0.01
O 0.5000 0.3571 0.6429  -0.02
V 0.4455 0.0000 0.5545  1.91
O 0.9720 0.2179 0.3830  0.00

## Properties
symmetry: R32
total magnetization: 6.00 μB per formula unit


Record 4
DFT (PBE with a Hubbard U) results for AcB2WO8 after structural relaxation.

a = 4.9903 Å, b = 4.9903 Å, c = 6.9700 Å
α = 90.00°, β = 90.00°, γ = 120.00°
Site moments in Bohr magnetons follow the coordinates.
Fractional coordinates of all 12 atoms:
O 0.6529 0.8264 0.8274  0.04
O 0.1736 0.8264 0.8274  0.04
B 0.3333 0.6667 0.7561  -0.01
W 0.0000 0.0000 0.0000  -0.02
O 0.6667 0.3333 0.4529  0.32
O 0.3333 0.6667 0.5471  0.32
O 0.3471 0.1736 0.1726  0.04
Ac 0.0000 0.0000 0.5000  0.00
O 0.1736 0.3471 0.8274  0.04
O 0.8264 0.1736 0.1726  0.04
B 0.6667 0.3333 0.2439  -0.01
O 0.8264 0.6529 0.1726  0.04

## Properties
symmetry: P-3m1
total magnetization: 0.98 μB per formula unit


Looking at density for the records above, in order, we have 5.45 6.57 4.67 6.19 Mg/m³.
Looking at uncorrected energy for the records above, in order, we have -80.97 -127.04 -162.10 -92.18 eV for the cell shown.